Entry 1:
A plane-wave DFT calculation with PBE-GGA was carried out for a relaxed structure of CaY2TlIr.

Cell lengths 5.358, 5.358, 5.544 Å; angles 90.00, 90.00, 90.00 degrees
Atoms (fractional coordinates):
Ca1 0.000 0.000 0.500
Ir1 0.000 0.000 0.000
Y1 0.500 0.000 0.000
Y2 0.000 0.500 0.000
Tl1 0.500 0.500 0.500

Calculated values
V = 159.1 Å³/f.u.
total energy = -27.7 eV per formula unit


Entry 2:
A plane-wave DFT calculation with PBE-GGA was carried out for a relaxed structure of V2SiRu.

Cell lengths 4.026, 3.621, 3.621 Å; angles 90.00, 90.00, 90.00 degrees
Atoms (fractional coordinates):
Ru1 0.500 0.500 0.500
Si1 0.500 0.000 0.000
V1 0.000 0.000 0.500
V2 0.000 0.500 0.000

Calculated values
raw formation energy = -0.386 eV/atom
V = 52.8 Å³/f.u.


Entry 3:
A plane-wave DFT calculation with PBE-GGA was carried out for a relaxed structure of Mg3ZnGa3.

Cell lengths 4.177, 5.371, 13.397 Å; angles 83.73, 81.03, 67.11 degrees
Atoms (fractional coordinates):
Mg1 0.481 0.664 0.374
Mg2 0.731 0.764 0.774
Mg3 0.394 0.286 0.925
Mg4 0.606 0.714 0.075
Mg5 0.269 0.236 0.226
Mg6 0.519 0.336 0.626
Ga1 0.137 0.269 0.457
Ga2 0.885 0.153 0.076
Ga3 0.988 0.798 0.226
Ga4 0.012 0.202 0.774
Ga5 0.115 0.847 0.924
Ga6 0.863 0.731 0.543
Zn1 0.769 0.081 0.380
Zn2 0.231 0.919 0.620

Calculated values
offset from the most stable computed form = 0 meV per atom
V = 136.6 Å³/f.u.


Entry 4:
A plane-wave DFT calculation with PBE-GGA was carried out for a relaxed structure of PaBe2NiH8.

Cell lengths 4.368, 4.368, 6.260 Å; angles 90.00, 90.00, 120.00 degrees
Atoms (fractional coordinates):
H1 0.152 0.848 0.809
H2 0.303 0.152 0.191
H3 0.848 0.697 0.191
H4 0.697 0.848 0.809
H5 0.333 0.667 0.505
H6 0.848 0.152 0.191
H7 0.667 0.333 0.495
H8 0.152 0.303 0.809
Ni1 0.000 0.000 0.000
Pa1 0.000 0.000 0.500
Be1 0.333 0.667 0.751
Be2 0.667 0.333 0.249

Calculated values
V = 103.5 Å³/f.u.
total energy = -50.2 eV per formula unit


Entry 5:
A plane-wave DFT calculation with PBE-GGA was carried out for a relaxed structure of Nd2MgGa.

Cell lengths 3.734, 3.734, 10.132 Å; angles 79.38, 79.38, 60.00 degrees
Atoms (fractional coordinates):
Nd1 0.741 0.741 0.777
Nd2 0.259 0.259 0.223
Mg1 0.500 0.500 0.500
Ga1 0.000 0.000 0.000

Calculated values
V = 119.6 Å³/f.u.
total energy = -14.8 eV per formula unit


Entry 6:
A plane-wave DFT calculation with PBE-GGA was carried out for a relaxed structure of SmMg9Cd3.

Cell lengths 5.917, 7.700, 7.696 Å; angles 81.69, 67.39, 67.91 degrees
Atoms (fractional coordinates):
Mg1 0.649 0.348 0.352
Mg2 0.000 0.500 0.000
Mg3 0.000 0.348 0.648
Mg4 0.502 0.211 0.787
Mg5 0.288 0.211 0.213
Mg6 0.000 0.652 0.352
Mg7 0.351 0.652 0.648
Mg8 0.498 0.789 0.213
Mg9 0.712 0.789 0.787
Cd1 0.500 0.000 0.500
Cd2 0.500 0.500 0.000
Cd3 0.000 0.000 0.500
Sm1 0.000 0.000 0.000

Calculated values
V = 299.9 Å³/f.u.
total energy = -23.3 eV per formula unit


Entry 7:
A plane-wave DFT calculation with PBE-GGA was carried out for a relaxed structure of Tm2CuS3.

Cell lengths 3.592, 4.225, 8.103 Å; angles 105.11, 102.81, 90.00 degrees
Atoms (fractional coordinates):
S1 0.000 0.500 0.000
S2 0.821 0.821 0.643
S3 0.179 0.179 0.357
Cu1 0.000 0.000 0.000
Tm1 0.640 0.640 0.281
Tm2 0.360 0.360 0.719

Calculated values
raw formation energy = -1.478 eV/atom
V = 115.5 Å³/f.u.


Entry 8:
A plane-wave DFT calculation with PBE-GGA was carried out for a relaxed structure of CsTlIn2Co.

Cell lengths 5.173, 5.173, 5.295 Å; angles 90.00, 90.00, 90.00 degrees
Atoms (fractional coordinates):
In1 0.000 0.500 0.000
In2 0.500 0.000 0.000
Cs1 0.500 0.500 0.500
Co1 0.000 0.000 0.000
Tl1 0.000 0.000 0.500

Calculated values
V = 141.7 Å³/f.u.
total energy = -15.5 eV per formula unit


Entry 9:
A plane-wave DFT calculation with PBE-GGA was carried out for a relaxed structure of PrNd2Sc.

Cell lengths 5.076, 5.054, 5.054 Å; angles 90.00, 90.00, 90.00 degrees
Atoms (fractional coordinates):
Pr1 0.500 0.500 0.500
Sc1 0.500 0.000 0.000
Nd1 0.000 0.000 0.500
Nd2 0.000 0.500 0.000

Calculated values
offset from the most stable computed form = 0 meV per atom
V = 129.7 Å³/f.u.


Entry 10:
A plane-wave DFT calculation with PBE-GGA was carried out for a relaxed structure of NdY5Cu4.

Cell lengths 3.485, 3.485, 19.395 Å; angles 90.00, 90.00, 90.00 degrees
Atoms (fractional coordinates):
Cu1 0.000 0.000 0.771
Cu2 0.000 0.000 0.591
Cu3 0.000 0.000 0.229
Cu4 0.000 0.000 0.409
Nd1 0.000 0.000 0.000
Y1 0.500 0.500 0.859
Y2 0.500 0.500 0.141
Y3 0.500 0.500 0.500
Y4 0.500 0.500 0.681
Y5 0.500 0.500 0.319

Calculated values
V = 235.5 Å³/f.u.
total energy = -55.4 eV per formula unit


Entry 11:
A plane-wave DFT calculation with PBE-GGA was carried out for a relaxed structure of LiPaGaRe.

Cell lengths 4.635, 4.635, 4.635 Å; angles 60.00, 60.00, 60.00 degrees
Atoms (fractional coordinates):
Pa1 0.750 0.750 0.750
Re1 0.500 0.500 0.500
Ga1 0.250 0.250 0.250
Li1 0.000 0.000 0.000

Calculated values
V = 70.4 Å³/f.u.
total energy = -26.9 eV per formula unit


Entry 12:
A plane-wave DFT calculation with PBE-GGA was carried out for a relaxed structure of MnTl2Fe.

Cell lengths 7.257, 7.257, 5.887 Å; angles 51.95, 51.95, 90.00 degrees
Atoms (fractional coordinates):
Tl1 0.375 0.369 0.750
Tl2 0.119 0.625 0.250
Tl3 0.875 0.881 0.750
Tl4 0.631 0.125 0.250
Fe1 0.750 0.250 0.500
Fe2 0.000 0.000 0.000
Mn1 0.250 0.750 0.500
Mn2 0.500 0.500 0.000

Calculated values
offset from the most stable computed form = 857 meV per atom
V = 76.0 Å³/f.u.